1.
First-principles (PBE with a Hubbard U) data for a relaxed TlCoNO crystal, as listed in OQMD via LeMat-Bulk.

Unit cell a=3.4237 b=5.6936 c=6.0019 alpha=90.00 beta=90.00 gamma=90.00
Sites, in units of the cell vectors:
Co 0.5000 0.9943 0.1608
Co 0.5000 0.4943 0.8392
N 0.0000 0.3997 0.6965
N 0.0000 0.8997 0.3035
Tl 0.0000 0.0122 0.6597
Tl 0.0000 0.5122 0.3403
O 0.5000 0.8477 0.8581
O 0.5000 0.3477 0.1419

2.
First-principles (PBE with a Hubbard U) data for a relaxed TlCoNO crystal, as listed in OQMD via LeMat-Bulk.

Unit cell a=3.9252 b=3.9252 c=8.0865 alpha=90.00 beta=90.00 gamma=90.00
Sites, in units of the cell vectors:
Tl 0.0000 0.5000 0.1405
Tl 0.5000 0.0000 0.8595
O 0.0000 0.0000 0.0000
O 0.5000 0.5000 0.0000
N 0.5000 0.0000 0.5893
N 0.0000 0.5000 0.4107
Co 0.0000 0.0000 0.5000
Co 0.5000 0.5000 0.5000

3.
First-principles (PBE with a Hubbard U) data for a relaxed TmCoNO crystal, as listed in OQMD via LeMat-Bulk.

Unit cell a=3.5810 b=5.7880 c=5.4940 alpha=90.00 beta=90.00 gamma=90.00
Sites, in units of the cell vectors:
N 0.0000 0.3580 0.3556
N 0.0000 0.6420 0.8556
O 0.5000 0.8423 0.3952
O 0.5000 0.1577 0.8952
Co 0.0000 0.3284 0.0015
Co 0.0000 0.6716 0.5015
Tm 0.5000 0.2006 0.5017
Tm 0.5000 0.7994 0.0017

4.
First-principles (PBE with a Hubbard U) data for a relaxed TmCoNO crystal, as listed in OQMD via LeMat-Bulk.

Unit cell a=3.5591 b=3.5591 c=7.6356 alpha=90.00 beta=90.00 gamma=90.00
Sites, in units of the cell vectors:
Co 0.0000 0.0000 0.5000
Co 0.5000 0.5000 0.5000
Tm 0.5000 0.0000 0.8451
Tm 0.0000 0.5000 0.1549
N 0.5000 0.0000 0.3558
N 0.0000 0.5000 0.6442
O 0.5000 0.5000 0.0000
O 0.0000 0.0000 0.0000

The following M_tot values (in μB/cell) correspond, in order, to the records above: 5.87 5.96 5.99 5.74.
The following ΔE to the lowest computed polymorph values (in meV per atom) correspond, in order, to the records above: 0 115 79 115.
The following raw total energy values (in hartree per atom) correspond, in order, to the records above: -0.18991 -0.18568 -0.25986 -0.25850.